Entry 1:
A relaxed NaAlVF6 crystal. Source: the Alexandria database, functional PBE+U.

## Properties
Space-group type ... No. 163
DOS(E_F) ... 0.000 states/eV/f.u.
Final energy ... -103.37 eV for the cell shown
Crystal system ... trigonal
ρ ... 3.05 g cm⁻³

extended XYZ file:
```
18
Lattice="5.294 0.000 0.000 -2.647 4.584 0.000 0.000 0.000 9.629" Properties=species:S:1:pos:R:3 pbc="T T T"
Na 0.000 0.000 0.000
Na 0.000 0.000 4.815
Al 0.000 3.056 2.407
Al 2.647 1.528 7.222
V 0.000 3.056 7.222
V 2.647 1.528 2.407
F -0.798 1.755 1.383
F -1.526 3.016 3.431
F 0.798 1.755 3.431
F -0.728 4.398 1.383
F 1.919 0.186 6.198
F 1.121 1.569 8.246
F 1.526 3.016 1.383
F 0.728 4.398 3.431
F 3.375 0.186 8.246
F 1.849 2.829 6.198
F 4.173 1.569 6.198
F 3.445 2.829 8.246
```

Entry 2:
A relaxed Na2AlVF6 crystal. Source: the Alexandria database, functional PBE+U.

## Properties
Space-group type ... No. 99
DOS(E_F) ... 1.394 states/eV/f.u.
Final energy ... -51.59 eV for the cell shown
Crystal system ... tetragonal
ρ ... 2.87 g cm⁻³

extended XYZ file:
```
10
Lattice="5.678 0.000 0.000 0.000 5.678 0.000 0.000 0.000 4.273" Properties=species:S:1:pos:R:3 pbc="T T T"
Na 0.000 2.839 0.000
Na 2.839 0.000 0.000
Al 0.000 0.000 2.398
V 2.839 2.839 2.458
F 0.000 0.000 0.617
F 1.279 1.279 2.690
F 1.279 4.399 2.690
F 2.839 2.839 0.329
F 4.399 1.279 2.690
F 4.399 4.399 2.690
```